First-principles (GGA-PBE) data for crystalline Nd2Al4InPt3 at its relaxed geometry, as listed in Alexandria.

Calculated values
Fermi-level density of states = 0.5762 states/eV/atom
E_form = -0.941 eV per atom

a = 4.3262 Å, b = 4.3262 Å, c = 10.7336 Å
α = 90.00°, β = 90.00°, γ = 90.00°
Closest atoms and distances in Å follow each position.
Space group P-4m2 (No. 115)
One atom of each set of equivalent atoms:
Nd: 0.0000 0.5000 0.2416  8 Al 3.28-3.38, 6 Pt 3.31-3.52, 2 In 3.52
Al: 0.0000 0.0000 0.0000  4 Pt 2.54
Al: 0.0000 0.5000 0.6472  3 Pt 2.45-2.68, 2 In 2.68
Al: 0.5000 0.5000 0.0000  4 Pt 2.54
In: 0.0000 0.0000 0.5000  4 Al 2.68
Pt: 0.0000 0.5000 0.8754  5 Al 2.45-2.54
Pt: 0.5000 0.5000 0.5000  4 Al 2.68